Record 1
A plane-wave DFT calculation with GGA-PBE was carried out for Nd2IrAu after structural relaxation.

extended XYZ file:
```
4
Lattice="3.626 0.000 0.000 0.000 3.626 0.000 0.000 0.000 7.314" Properties=species:S:1:pos:R:3 pbc="T T T"
Ir 1.813 1.813 0.000
Nd 0.000 0.000 5.614
Au 1.813 1.813 3.657
Nd 0.000 0.000 1.700
```

Computed properties:
Calculated formation energy: -0.68 eV/atom
Size of the total moment: 0.000 μB per atom
Crystal system: tetragonal
Total energy: -6.1005 eV/atom
Density of states at the Fermi level: 0.763 states/eV per atom


Record 2
A plane-wave DFT calculation with GGA-PBE was carried out for Cd2SnHg4Pb after structural relaxation.

extended XYZ file:
```
8
Lattice="6.140 0.000 0.000 -0.006 6.140 0.000 -3.067 -3.070 6.013" Properties=species:S:1:pos:R:3 pbc="T T T"
Cd 0.000 0.000 0.000
Sn 3.070 0.000 3.007
Pb 3.067 3.070 0.000
Cd -0.003 3.070 3.007
Hg -0.003 3.070 6.013
Hg 3.067 3.070 3.065
Hg -0.003 3.070 0.000
Hg 0.000 0.000 2.948
```

Computed properties:
Calculated formation energy: 0.07 eV/atom
Size of the total moment: 0.000 μB per atom
Crystal system: orthorhombic
Total energy: -1.2720 eV/atom
Density of states at the Fermi level: 0.294 states/eV per atom